# ScNi2Ag2 GGA-PBE optimized geometry
data_ScNi2Ag2
_chemical_formula_sum 'Sc2 Ni4 Ag4'
_cell_length_a 6.4753
_cell_length_b 6.4753
_cell_length_c 3.8207
_cell_angle_alpha 90.00
_cell_angle_beta 90.00
_cell_angle_gamma 90.00
_space_group_name_H-M_alt 'P 1'
_space_group_IT_number 1
_space_group_name_Hall 'P 1'
loop_
_atom_site_label
_atom_site_type_symbol
_atom_site_fract_x
_atom_site_fract_y
_atom_site_fract_z
Sc1 Sc 0.0000 0.0000 0.0000
Sc2 Sc 0.5000 0.5000 0.0000
Ni1 Ni 0.1290 0.3710 0.0000
Ni2 Ni 0.3710 0.8710 0.0000
Ni3 Ni 0.6290 0.1290 0.0000
Ni4 Ni 0.8710 0.6290 0.0000
Ag1 Ag 0.1664 0.6664 0.5000
Ag2 Ag 0.3336 0.1664 0.5000
Ag3 Ag 0.6664 0.8336 0.5000
Ag4 Ag 0.8336 0.3336 0.5000
# **Final energy**: -0.175 hartree per atom
# **SG**: P4/mbm (127)
# **N(E_F)**: 5.22 states/eV per cell



# MgTe2P GGA-PBE optimized geometry
data_MgTe2P
_chemical_formula_sum 'Mg1 Te2 P1'
_cell_length_a 3.5346
_cell_length_b 3.5346
_cell_length_c 7.3332
_cell_angle_alpha 90.00
_cell_angle_beta 90.00
_cell_angle_gamma 90.00
_space_group_name_H-M_alt 'P 1'
_space_group_IT_number 1
_space_group_name_Hall 'P 1'
loop_
_atom_site_label
_atom_site_type_symbol
_atom_site_fract_x
_atom_site_fract_y
_atom_site_fract_z
Mg1 Mg 0.0000 0.0000 0.0000
Te1 Te 0.5000 0.5000 0.2561
Te2 Te 0.5000 0.5000 0.7439
P1 P 0.0000 0.0000 0.5000
# **Final energy**: -0.115 hartree per atom
# **SG**: P4/mmm (123)
# **N(E_F)**: 2.62 states/eV per cell
# **ΔE_f (raw)**: 205 meV per atom